(1)
A plane-wave DFT calculation with PBE-GGA was carried out for a geometry-optimized Th3Zn2Co4 structure.

* formation energy: -284 meV per atom

Geometry as CIF:
```
data_Th3Zn2Co4
_symmetry_space_group_name_H-M 'C 1 2/m 1'
_symmetry_Int_Tables_number 12
_cell_length_a 9.596
_cell_length_b 4.206
_cell_length_c 8.263
_cell_angle_alpha 90.00
_cell_angle_beta 94.98
_cell_angle_gamma 90.00
loop_
_symmetry_equiv_pos_as_xyz
'x,y,z'
'-x,-y,-z'
'-x,y,-z'
'x,-y,z'
'x+1/2,y+1/2,z'
'-x+1/2,-y+1/2,-z'
'-x+1/2,y+1/2,-z'
'x+1/2,-y+1/2,z'
loop_
_atom_site_label
_atom_site_type_symbol
_atom_site_fract_x
_atom_site_fract_y
_atom_site_fract_z
Th1 Th 0.000 0.000 0.000
Th2 Th 0.127 0.500 0.376
Zn1 Zn 0.177 0.500 0.785
Co1 Co 0.088 0.000 0.636
Co2 Co 0.237 0.500 0.087
```



(2)
A plane-wave DFT calculation with PBE-GGA was carried out for a geometry-optimized Sm6Ag5Ru structure.

* formation energy: -282 meV per atom

Geometry as CIF:
```
data_Sm6Ag5Ru
_symmetry_space_group_name_H-M 'C m m m'
_symmetry_Int_Tables_number 65
_symmetry_space_group_name_Hall '-C 2 2'
_cell_length_a 5.189
_cell_length_b 15.542
_cell_length_c 7.364
_cell_angle_alpha 90.00
_cell_angle_beta 90.00
_cell_angle_gamma 90.00
loop_
_atom_site_label
_atom_site_type_symbol
_atom_site_fract_x
_atom_site_fract_y
_atom_site_fract_z
Sm1 Sm 0.000 0.000 0.234
Sm2 Sm 0.000 0.342 0.242
Ag1 Ag 0.000 0.167 0.500
Ag2 Ag 0.000 0.176 0.000
Ag3 Ag 0.000 0.500 0.500
Ru1 Ru 0.000 0.500 0.000
```



(3)
A plane-wave DFT calculation with PBE-GGA was carried out for a geometry-optimized H2IrPdN structure.

* VASP energy: -23.70 eV for the cell shown

Geometry as CIF:
```
data_H2IrPdN
_symmetry_space_group_name_H-M 'P 4/m m m'
_symmetry_Int_Tables_number 123
_symmetry_space_group_name_Hall '-P 4 2'
_cell_length_a 3.748
_cell_length_b 3.748
_cell_length_c 3.731
_cell_angle_alpha 90.00
_cell_angle_beta 90.00
_cell_angle_gamma 90.00
loop_
_atom_site_label
_atom_site_type_symbol
_atom_site_fract_x
_atom_site_fract_y
_atom_site_fract_z
H1 H 0.000 0.500 0.000
Ir1 Ir 0.000 0.000 0.500
Pd1 Pd 0.500 0.500 0.500
N1 N 0.000 0.000 0.000
```



(4)
A plane-wave DFT calculation with PBE-GGA was carried out for a geometry-optimized LiMoOs2 structure.

* formation energy: 127 meV per atom

Geometry as CIF:
```
data_LiMoOs2
_symmetry_space_group_name_H-M 'R -3 m'
_symmetry_Int_Tables_number 166
_symmetry_space_group_name_Hall '-R 3 2"'
_cell_length_a 2.7383
_cell_length_b 2.7383
_cell_length_c 27.1459
_cell_angle_alpha 90.00
_cell_angle_beta 90.00
_cell_angle_gamma 120.00
loop_
_atom_site_label
_atom_site_type_symbol
_atom_site_fract_x
_atom_site_fract_y
_atom_site_fract_z
Li1 Li 0.0000 0.0000 0.0000
Mo1 Mo 0.0000 0.0000 0.5000
Os1 Os 0.0000 0.0000 0.2482
```